! InSbAu (PBE, optimized geometry); values from VASP
&SYSTEM
  ibrav = 0, nat = 3, ntyp = 3
/
ATOMIC_SPECIES
In 114.82 In.upf
Sb 121.76 Sb.upf
Au 196.97 Au.upf
ATOMIC_POSITIONS angstrom
In 0.0000 0.0000 0.0000
Sb 2.1764 1.2565 2.0758
Au 0.0000 2.5131 3.2832
CELL_PARAMETERS angstrom
4.3528 0.0000 0.0000
-2.1764 3.7696 0.0000
0.0000 0.0000 4.7079
! - Total magnetic moment: 0.0 μB per formula unit
! - Formation energy without anion corrections: -79 meV per atom
! - Energy: -3.458 eV/atom